Entry 1:
This record from OQMD describes an optimized crystal structure of HfFeCuSn. The functional is PBE.

Summary:
The value obtained for the energy is -0.4703 Ry/atom. The energy relative to the lowest polymorph listed for this composition comes out at 0.237 eV per atom.

```
HfFeCuSn
1.0
2.210 0.963 3.877
-0.489 4.100 1.948
-2.322 0.408 3.910
Cu Fe Hf Sn
1 1 1 1
direct
0.500 0.500 0.500
0.750 0.750 0.750
0.250 0.250 0.250
0.000 0.000 0.000
```


Entry 2:
This record from OQMD describes an optimized crystal structure of HfFeCuSn. The functional is PBE.

Summary:
The value obtained for the energy is -0.4877 Ry/atom. The energy relative to the lowest polymorph listed for this composition comes out at 0.000 eV per atom.

```
HfFeCuSn
1.0
-0.852 -3.454 2.732
-4.190 -0.767 1.406
-2.260 -3.561 -1.525
Cu Fe Hf Sn
1 1 1 1
direct
0.750 0.750 0.750
0.250 0.250 0.250
0.500 0.500 0.500
0.000 0.000 0.000
```


Look up the energy of the first one.
-0.4703 Ry/atom


Which formula does entry 1 have?
HfFeCuSn